[1]
# BaLiCoMo (PBE, optimized geometry)
# Space group: F-43m, No. 216
# Total magnetization (μB per atom): 0.927
# Energy above the most stable polymorph in this dataset (meV/atom): 0.0
# V (Å³/atom): 20.18
# Crystal system: cubic
data_BaLiCoMo
_space_group_name_H-M_alt 'P 1'
_space_group_IT_number 1
_cell_length_a 4.851
_cell_length_b 4.851
_cell_length_c 4.851
_cell_angle_alpha 60.00
_cell_angle_beta 60.00
_cell_angle_gamma 60.00
loop_
_space_group_symop_operation_xyz
'x,y,z'
loop_
_atom_site_label
_atom_site_type_symbol
_atom_site_fract_x
_atom_site_fract_y
_atom_site_fract_z
Co1 Co 0.250 0.250 0.250
Ba1 Ba 0.500 0.500 0.500
Mo1 Mo 0.000 0.000 0.000
Li1 Li 0.750 0.750 0.750

[2]
# SrAsPPd2 (PBE, optimized geometry)
# Space group: I4mm, No. 107
# V (Å³/atom): 19.14
# VASP energy (eV/atom): -5.217
# Crystal system: tetragonal
data_SrAsPPd2
_space_group_name_H-M_alt 'P 1'
_space_group_IT_number 1
_cell_length_a 5.920
_cell_length_b 5.920
_cell_length_c 5.920
_cell_angle_alpha 136.89
_cell_angle_beta 136.89
_cell_angle_gamma 62.61
loop_
_space_group_symop_operation_xyz
'x,y,z'
loop_
_atom_site_label
_atom_site_type_symbol
_atom_site_fract_x
_atom_site_fract_y
_atom_site_fract_z
Sr1 Sr 0.001 0.001 0.000
Pd1 Pd 0.243 0.743 0.500
Pd2 Pd 0.743 0.243 0.500
P1 P 0.626 0.626 0.000
As1 As 0.386 0.386 0.000

[3]
# FeAgCl4 (PBE, optimized geometry)
# Space group: P2/m, No. 10
# Total magnetization (μB per atom): 0.830
# V (Å³/atom): 23.84
# VASP energy (eV/atom): -3.688
# Crystal system: monoclinic
data_FeAgCl4
_space_group_name_H-M_alt 'P 1'
_space_group_IT_number 1
_cell_length_a 6.469
_cell_length_b 3.571
_cell_length_c 6.957
_cell_angle_alpha 90.00
_cell_angle_beta 117.09
_cell_angle_gamma 90.00
loop_
_space_group_symop_operation_xyz
'x,y,z'
loop_
_atom_site_label
_atom_site_type_symbol
_atom_site_fract_x
_atom_site_fract_y
_atom_site_fract_z
Cl1 Cl 0.475 0.000 0.729
Cl2 Cl 0.912 0.500 0.701
Cl3 Cl 0.088 0.500 0.299
Cl4 Cl 0.525 0.000 0.271
Fe1 Fe 0.500 0.500 0.500
Ag1 Ag 0.000 0.000 0.000

[4]
# MgTePtO (PBE, optimized geometry)
# Space group: Pca2_1, No. 29
# Total magnetization (μB per atom): 0.000
# Energy above the most stable polymorph in this dataset (meV/atom): 466.6
# V (Å³/atom): 20.88
# Crystal system: orthorhombic
data_MgTePtO
_space_group_name_H-M_alt 'P 1'
_space_group_IT_number 1
_cell_length_a 6.780
_cell_length_b 7.242
_cell_length_c 6.805
_cell_angle_alpha 90.00
_cell_angle_beta 90.00
_cell_angle_gamma 90.00
loop_
_space_group_symop_operation_xyz
'x,y,z'
loop_
_atom_site_label
_atom_site_type_symbol
_atom_site_fract_x
_atom_site_fract_y
_atom_site_fract_z
Pt1 Pt 0.250 0.226 0.875
Pt2 Pt 0.750 0.774 0.875
Pt3 Pt 0.250 0.226 0.375
Pt4 Pt 0.750 0.774 0.375
Te1 Te 0.961 0.309 0.625
Te2 Te 0.039 0.691 0.125
Te3 Te 0.461 0.691 0.625
Te4 Te 0.539 0.309 0.125
O1 O 0.081 0.220 0.125
O2 O 0.919 0.780 0.625
O3 O 0.581 0.780 0.125
O4 O 0.419 0.220 0.625
Mg1 Mg 0.144 0.943 0.626
Mg2 Mg 0.856 0.057 0.126
Mg3 Mg 0.644 0.057 0.626
Mg4 Mg 0.356 0.943 0.126

[5]
# ErSbN2O (PBE, optimized geometry)
# Space group: Pmc2_1, No. 26
# Total magnetization (μB per atom): 0.000
# V (Å³/atom): 13.31
# VASP energy (eV/atom): -7.059
# Crystal system: orthorhombic
data_ErSbN2O
_space_group_name_H-M_alt 'P 1'
_space_group_IT_number 1
_cell_length_a 3.551
_cell_length_b 6.362
_cell_length_c 5.893
_cell_angle_alpha 90.00
_cell_angle_beta 90.00
_cell_angle_gamma 90.00
loop_
_space_group_symop_operation_xyz
'x,y,z'
loop_
_atom_site_label
_atom_site_type_symbol
_atom_site_fract_x
_atom_site_fract_y
_atom_site_fract_z
N1 N 0.000 0.691 0.045
N2 N 0.500 0.892 0.334
N3 N 0.500 0.108 0.834
N4 N 0.000 0.309 0.545
Er1 Er 0.000 0.653 0.439
Er2 Er 0.000 0.347 0.939
Sb1 Sb 0.500 0.173 0.478
Sb2 Sb 0.500 0.827 0.978
O1 O 0.500 0.385 0.205
O2 O 0.500 0.615 0.705

[6]
# NbCuPbAu (PBE, optimized geometry)
# Space group: F-43m, No. 216
# Total magnetization (μB per atom): 0.320
# Energy above the most stable polymorph in this dataset (meV/atom): 83.1
# V (Å³/atom): 19.17
# Crystal system: cubic
data_NbCuPbAu
_space_group_name_H-M_alt 'P 1'
_space_group_IT_number 1
_cell_length_a 4.769
_cell_length_b 4.769
_cell_length_c 4.769
_cell_angle_alpha 60.00
_cell_angle_beta 60.00
_cell_angle_gamma 60.00
loop_
_space_group_symop_operation_xyz
'x,y,z'
loop_
_atom_site_label
_atom_site_type_symbol
_atom_site_fract_x
_atom_site_fract_y
_atom_site_fract_z
Nb1 Nb 0.500 0.500 0.500
Au1 Au 0.250 0.250 0.250
Pb1 Pb 0.000 0.000 0.000
Cu1 Cu 0.750 0.750 0.750

[7]
# Pr3Mg2GaPt2Au (PBE, optimized geometry)
# Space group: Amm2, No. 38
# Total magnetization (μB per atom): 0.000
# V (Å³/atom): 23.12
# VASP energy (eV/atom): -4.825
# Crystal system: orthorhombic
data_Pr3Mg2GaPt2Au
_space_group_name_H-M_alt 'P 1'
_space_group_IT_number 1
_cell_length_a 4.140
_cell_length_b 7.638
_cell_length_c 7.638
_cell_angle_alpha 120.52
_cell_angle_beta 90.00
_cell_angle_gamma 90.00
loop_
_space_group_symop_operation_xyz
'x,y,z'
loop_
_atom_site_label
_atom_site_type_symbol
_atom_site_fract_x
_atom_site_fract_y
_atom_site_fract_z
Pt1 Pt 0.000 0.330 0.664
Pt2 Pt 0.000 0.664 0.330
Mg1 Mg 0.000 0.999 0.246
Mg2 Mg 0.000 0.246 0.999
Au1 Au 0.500 0.004 0.004
Ga1 Ga 0.000 0.755 0.755
Pr1 Pr 0.500 0.584 0.990
Pr2 Pr 0.500 0.990 0.584
Pr3 Pr 0.500 0.429 0.429

[8]
# Zr3Al3CuPt2 (PBE, optimized geometry)
# Space group: P-62m, No. 189
# Total magnetization (μB per atom): 0.001
# V (Å³/atom): 17.61
# VASP energy (eV/atom): -6.663
# Crystal system: hexagonal
data_Zr3Al3CuPt2
_space_group_name_H-M_alt 'P 1'
_space_group_IT_number 1
_cell_length_a 7.020
_cell_length_b 7.020
_cell_length_c 3.713
_cell_angle_alpha 90.00
_cell_angle_beta 90.00
_cell_angle_gamma 120.00
loop_
_space_group_symop_operation_xyz
'x,y,z'
loop_
_atom_site_label
_atom_site_type_symbol
_atom_site_fract_x
_atom_site_fract_y
_atom_site_fract_z
Pt1 Pt 0.333 0.667 0.500
Pt2 Pt 0.667 0.333 0.500
Cu1 Cu 0.000 0.000 0.000
Zr1 Zr 0.401 0.000 0.000
Zr2 Zr 0.599 0.599 0.000
Zr3 Zr 0.000 0.401 0.000
Al1 Al 0.000 0.754 0.500
Al2 Al 0.246 0.246 0.500
Al3 Al 0.754 0.000 0.500